# 1
VASP calculation (GGA-PBE) on an optimized crystal structure of SmScZnSn.

Computed properties:
- Magnetic moment: 0.00 μB/cell
- ΔE_f: -0.473 eV/atom

The structure in CIF format:
```
data_SmScZnSn
_chemical_formula_sum 'Sm4 Sc4 Zn4 Sn4'
_cell_length_a 7.2153
_cell_length_b 7.2153
_cell_length_c 7.2153
_cell_angle_alpha 90.00
_cell_angle_beta 90.00
_cell_angle_gamma 90.00
_space_group_name_H-M_alt 'F -4 3 m'
_space_group_IT_number 216
_space_group_name_Hall 'F -4 2 3'
loop_
_atom_site_label
_atom_site_fract_x
_atom_site_fract_y
_atom_site_fract_z
Sm1 0.0000 0.0000 0.0000
Sc1 0.0000 0.0000 0.5000
Zn1 0.2500 0.2500 0.2500
Sn1 0.2500 0.2500 0.7500
```

---

# 2
VASP calculation (GGA-PBE) on an optimized crystal structure of Pm4Si3Ni.

Computed properties:
- ΔE_f (raw): -5.23 eV per formula unit
- Magnetic moment: 0.16 μB/cell

The structure in CIF format:
```
data_Pm4Si3Ni
_chemical_formula_sum 'Pm4 Si3 Ni1'
_cell_length_a 3.9795
_cell_length_b 4.3070
_cell_length_c 10.9164
_cell_angle_alpha 90.00
_cell_angle_beta 90.00
_cell_angle_gamma 90.00
_space_group_name_H-M_alt 'P m m 2'
_space_group_IT_number 25
_space_group_name_Hall 'P 2 -2'
loop_
_atom_site_label
_atom_site_fract_x
_atom_site_fract_y
_atom_site_fract_z
Pm1 0.0000 0.0000 0.0000
Pm2 0.0000 0.5000 0.4931
Pm3 0.5000 0.0000 0.7124
Pm4 0.5000 0.5000 0.2189
Si1 0.0000 0.5000 0.7850
Si2 0.5000 0.0000 0.4203
Si3 0.5000 0.5000 0.9247
Ni1 0.0000 0.0000 0.2957
```

---

# 3
VASP calculation (GGA-PBE) on an optimized crystal structure of K3MnTc.

Computed properties:
- Magnetic moment: 7.14 μB/cell
- Offset from the most stable computed form: 0.00 kcal/mol of atoms
- ΔE_f: 1.612 eV/atom

The structure in CIF format:
```
data_K3MnTc
_chemical_formula_sum 'K3 Mn1 Tc1'
_cell_length_a 6.3338
_cell_length_b 6.3338
_cell_length_c 6.3338
_cell_angle_alpha 90.00
_cell_angle_beta 90.00
_cell_angle_gamma 90.00
_space_group_name_H-M_alt 'P m -3 m'
_space_group_IT_number 221
_space_group_name_Hall '-P 4 2 3'
loop_
_atom_site_label
_atom_site_fract_x
_atom_site_fract_y
_atom_site_fract_z
K1 0.0000 0.0000 0.5000
Mn1 0.5000 0.5000 0.5000
Tc1 0.0000 0.0000 0.0000
```

---

# 4
VASP calculation (GGA-PBE) on an optimized crystal structure of ZnRe2Cl.

Computed properties:
- ΔE_f (raw): 3.52 eV per formula unit
- Magnetic moment: 0.00 μB/cell
- Offset from the most stable computed form: 18.61 kcal/mol of atoms

The structure in CIF format:
```
data_ZnRe2Cl
_chemical_formula_sum 'Zn2 Re4 Cl2'
_cell_length_a 2.8215
_cell_length_b 4.5807
_cell_length_c 9.6678
_cell_angle_alpha 90.00
_cell_angle_beta 90.00
_cell_angle_gamma 90.00
_space_group_name_H-M_alt 'I m m 2'
_space_group_IT_number 44
_space_group_name_Hall 'I 2 -2'
loop_
_atom_site_label
_atom_site_fract_x
_atom_site_fract_y
_atom_site_fract_z
Zn1 0.0000 0.0000 0.0000
Re1 0.0000 0.0000 0.4909
Re2 0.0000 0.5000 0.7671
Cl1 0.0000 0.5000 0.2184
```

---

# 5
VASP calculation (GGA-PBE) on an optimized crystal structure of K2NaPrBr6.

Computed properties:
- ΔE_f (raw): -17.82 eV per formula unit
- Magnetic moment: 0.00 μB/cell
- Offset from the most stable computed form: 0.00 kcal/mol of atoms

The structure in CIF format:
```
data_K2NaPrBr6
_chemical_formula_sum 'K4 Na2 Pr2 Br12'
_cell_length_a 7.8199
_cell_length_b 8.2515
_cell_length_c 13.4438
_cell_angle_alpha 90.00
_cell_angle_beta 124.02
_cell_angle_gamma 90.00
_space_group_name_H-M_alt 'P 1 21/c 1'
_space_group_IT_number 14
_space_group_name_Hall '-P 2ybc'
loop_
_atom_site_label
_atom_site_fract_x
_atom_site_fract_y
_atom_site_fract_z
K1 0.2147 0.0785 0.2437
Na1 0.0000 0.0000 0.5000
Pr1 0.5000 0.0000 0.0000
Br1 0.1421 0.1941 0.9427
Br2 0.2492 0.7055 0.9369
Br3 0.3726 0.0391 0.7514
```

---

# 6
VASP calculation (GGA-PBE) on an optimized crystal structure of Pu5Rh2.

Computed properties:
- Magnetic moment: 19.27 μB/cell
- Offset from the most stable computed form: 0.61 kcal/mol of atoms
- ΔE_f: -0.116 eV/atom

The structure in CIF format:
```
data_Pu5Rh2
_chemical_formula_sum 'Pu20 Rh8'
_cell_length_a 14.1140
_cell_length_b 5.9287
_cell_length_c 6.7406
_cell_angle_alpha 90.00
_cell_angle_beta 91.35
_cell_angle_gamma 90.00
_space_group_name_H-M_alt 'C 1 2/c 1'
_space_group_IT_number 15
_space_group_name_Hall '-C 2yc'
loop_
_atom_site_label
_atom_site_fract_x
_atom_site_fract_y
_atom_site_fract_z
Pu1 0.0000 0.2116 0.2500
Pu2 0.0960 0.1020 0.6098
Pu3 0.2381 0.3974 0.2042
Rh1 0.0896 0.4144 0.9367
```